#a
Here is an optimized crystal structure of Ce2TmSb from Alexandria via LeMat-Bulk. Energies are from PBE.

The space group is P4/mmm (No. 123) and the conventional cell measures 4.536, 4.536 and 5.101 Å, with angles of 90.00, 90.00 and 90.00 degrees. The asymmetric unit holds Ce at (0.000, 0.500, 0.000), Tm at (0.000, 0.000, 0.500) and Sb at (0.500, 0.500, 0.500).

The total moment comes out at 0.90 μB per formula unit. As for the density of states at the Fermi level: 9.378 states/eV/cell.

***

#b
Here is an optimized crystal structure of Ce2TmSb from Alexandria via LeMat-Bulk. Energies are from PBE.

The space group is Fm-3m (No. 225) and the conventional cell measures 7.677, 7.677 and 7.677 Å, with angles of 90.00, 90.00 and 90.00 degrees. The asymmetric unit holds Ce at (0.250, 0.250, 0.250), Tm at (0.000, 0.000, 0.000) and Sb at (0.000, 0.000, 0.500).

The total moment comes out at 2.50 μB per formula unit. As for the density of states at the Fermi level: 47.585 states/eV/cell.

***

Of them, the most stable is #a and the least stable is #b.

***

#a
Here is an optimized crystal structure of Ce3TmSb4 from Alexandria via LeMat-Bulk. Energies are from PBE.

The space group is Cmmm (No. 65) and the conventional cell measures 8.907, 12.608 and 4.466 Å, with angles of 90.00, 90.00 and 90.00 degrees. The asymmetric unit holds Ce at (0.000, 0.000, 0.000), Ce at (0.250, 0.250, 0.500), Tm at (0.000, 0.500, 0.000), Sb at (0.000, 0.254, 0.000) and Sb at (0.243, 0.500, 0.500).

The total moment comes out at 2.46 μB per formula unit. As for the density of states at the Fermi level: 40.571 states/eV/cell.

***

#b
Here is an optimized crystal structure of Ce3TmSb4 from Alexandria via LeMat-Bulk. Energies are from PBE.

The space group is Pm-3m (No. 221) and the conventional cell measures 6.309, 6.309 and 6.309 Å, with angles of 90.00, 90.00 and 90.00 degrees. The asymmetric unit holds Ce at (0.000, 0.000, 0.500), Tm at (0.500, 0.500, 0.500), Sb at (0.000, 0.000, 0.000) and Sb at (0.000, 0.500, 0.500).

The total moment comes out at 2.58 μB per formula unit. As for the density of states at the Fermi level: 18.887 states/eV/cell.

***

Of them, the most stable is #a and the least stable is #b.